# AcGaHgPd3

A geometry-optimized AcGaHgPd3 structure (PBE-GGA, Alexandria).

Calculated values
raw total energy: -4.313 eV per atom
calculated volume: 22.70 Å³ per atom
DOS at the Fermi energy: 2.4 states/eV/f.u.
formation energy: -0.477 eV per atom

```
data_AcGaHgPd3
_chemical_formula_sum 'Ac4 Ga4 Hg4 Pd12'
_cell_length_a 7.246
_cell_length_b 12.536
_cell_length_c 5.999
_cell_angle_alpha 90.00
_cell_angle_beta 90.00
_cell_angle_gamma 90.00
_symmetry_space_group_name_H-M 'C m c m'
_symmetry_Int_Tables_number 63
_symmetry_space_group_name_Hall '-C 2c 2'
loop_
_atom_site_label
_atom_site_type_symbol
_atom_site_fract_x
_atom_site_fract_y
_atom_site_fract_z
Ac1 Ac 0.000 0.201 0.250
Ga1 Ga 0.000 0.119 0.750
Hg1 Hg 0.000 0.457 0.250
Pd1 Pd 0.000 0.315 0.750
Pd2 Pd 0.195 0.000 0.000
```

# CuMo2Os

A geometry-optimized CuMo2Os structure (PBE-GGA, Alexandria).

Calculated values
raw total energy: -8.953 eV per atom
calculated volume: 14.70 Å³ per atom
DOS at the Fermi energy: 4.5 states/eV/f.u.
formation energy: 0.294 eV per atom
ΔE to the lowest computed polymorph: 166 meV per atom

```
data_CuMo2Os
_chemical_formula_sum 'Cu4 Mo8 Os4'
_cell_length_a 6.172
_cell_length_b 6.172
_cell_length_c 6.172
_cell_angle_alpha 90.00
_cell_angle_beta 90.00
_cell_angle_gamma 90.00
_symmetry_space_group_name_H-M 'F -4 3 m'
_symmetry_Int_Tables_number 216
_symmetry_space_group_name_Hall 'F -4 2 3'
loop_
_atom_site_label
_atom_site_type_symbol
_atom_site_fract_x
_atom_site_fract_y
_atom_site_fract_z
Cu1 Cu 0.000 0.000 0.000
Mo1 Mo 0.000 0.000 0.500
Mo2 Mo 0.250 0.250 0.250
Os1 Os 0.250 0.250 0.750
```

# Sr4Ru6ClO18

A geometry-optimized Sr4Ru6ClO18 structure (PBE-GGA, Alexandria).

Calculated values
raw total energy: -6.848 eV per atom
calculated volume: 14.19 Å³ per atom
DOS at the Fermi energy: 13.5 states/eV/f.u.

```
data_Sr4Ru6ClO18
_chemical_formula_sum 'Sr8 Ru12 Cl2 O36'
_cell_length_a 9.372
_cell_length_b 9.372
_cell_length_c 9.372
_cell_angle_alpha 90.00
_cell_angle_beta 90.00
_cell_angle_gamma 90.00
_symmetry_space_group_name_H-M 'I 2 3'
_symmetry_Int_Tables_number 197
_symmetry_space_group_name_Hall 'I 2 2 3'
loop_
_atom_site_label
_atom_site_type_symbol
_atom_site_fract_x
_atom_site_fract_y
_atom_site_fract_z
Sr1 Sr 0.188 0.188 0.188
Ru1 Ru 0.000 0.163 0.500
Cl1 Cl 0.000 0.000 0.000
O1 O 0.000 0.000 0.374
O2 O 0.020 0.288 0.667
```

# ThZnNiPd

A geometry-optimized ThZnNiPd structure (PBE-GGA, Alexandria).

Calculated values
raw total energy: -5.346 eV per atom
calculated volume: 18.84 Å³ per atom
DOS at the Fermi energy: 3.2 states/eV/f.u.
formation energy: -0.429 eV per atom
ΔE to the lowest computed polymorph: 138 meV per atom

```
data_ThZnNiPd
_chemical_formula_sum 'Th4 Zn4 Ni4 Pd4'
_cell_length_a 6.705
_cell_length_b 6.705
_cell_length_c 6.705
_cell_angle_alpha 90.00
_cell_angle_beta 90.00
_cell_angle_gamma 90.00
_symmetry_space_group_name_H-M 'F -4 3 m'
_symmetry_Int_Tables_number 216
_symmetry_space_group_name_Hall 'F -4 2 3'
loop_
_atom_site_label
_atom_site_type_symbol
_atom_site_fract_x
_atom_site_fract_y
_atom_site_fract_z
Th1 Th 0.000 0.000 0.000
Zn1 Zn 0.000 0.000 0.500
Ni1 Ni 0.250 0.250 0.250
Pd1 Pd 0.250 0.250 0.750
```

# La2BeSn

A geometry-optimized La2BeSn structure (PBE-GGA, Alexandria).

Calculated values
raw total energy: -4.336 eV per atom
calculated volume: 27.73 Å³ per atom
DOS at the Fermi energy: 4.2 states/eV/f.u.
formation energy: 0.060 eV per atom
ΔE to the lowest computed polymorph: 273 meV per atom

```
data_La2BeSn
_chemical_formula_sum 'La8 Be4 Sn4'
_cell_length_a 8.435
_cell_length_b 8.435
_cell_length_c 6.237
_cell_angle_alpha 90.00
_cell_angle_beta 90.00
_cell_angle_gamma 90.00
_symmetry_space_group_name_H-M 'I -4 2 d'
_symmetry_Int_Tables_number 122
_symmetry_space_group_name_Hall 'I -4 2bw'
loop_
_atom_site_label
_atom_site_type_symbol
_atom_site_fract_x
_atom_site_fract_y
_atom_site_fract_z
La1 La 0.210 0.750 0.125
Be1 Be 0.000 0.000 0.000
Sn1 Sn 0.000 0.000 0.500
```

# RbPdBr3

A geometry-optimized RbPdBr3 structure (PBE-GGA, Alexandria).

Calculated values
raw total energy: -3.122 eV per atom
calculated volume: 35.76 Å³ per atom

```
data_RbPdBr3
_chemical_formula_sum 'Rb2 Pd2 Br6'
_cell_length_a 7.002
_cell_length_b 7.175
_cell_length_c 7.521
_cell_angle_alpha 71.68
_cell_angle_beta 85.70
_cell_angle_gamma 87.58
_symmetry_space_group_name_H-M 'P 1'
_symmetry_Int_Tables_number 1
loop_
_symmetry_equiv_pos_as_xyz
'x,y,z'
loop_
_atom_site_label
_atom_site_type_symbol
_atom_site_fract_x
_atom_site_fract_y
_atom_site_fract_z
Rb1 Rb 0.000 0.000 0.000
Rb2 Rb 0.408 0.345 0.323
Pd1 Pd 0.199 0.684 0.684
Pd2 Pd 0.706 0.695 0.459
Br1 Br 0.044 0.002 0.524
Br2 Br 0.352 0.362 0.845
Br3 Br 0.505 0.850 0.661
Br4 Br 0.527 0.883 0.185
Br5 Br 0.890 0.517 0.733
Br6 Br 0.895 0.523 0.264
```

# Li2TmMg

A geometry-optimized Li2TmMg structure (PBE-GGA, Alexandria).

Calculated values
raw total energy: -2.346 eV per atom
calculated volume: 22.60 Å³ per atom
DOS at the Fermi energy: 3.5 states/eV/f.u.
formation energy: 0.127 eV per atom
ΔE to the lowest computed polymorph: 56 meV per atom

```
data_Li2TmMg
_chemical_formula_sum 'Li2 Tm1 Mg1'
_cell_length_a 5.236
_cell_length_b 5.236
_cell_length_c 3.297
_cell_angle_alpha 90.00
_cell_angle_beta 90.00
_cell_angle_gamma 90.00
_symmetry_space_group_name_H-M 'P 4/m m m'
_symmetry_Int_Tables_number 123
_symmetry_space_group_name_Hall '-P 4 2'
loop_
_atom_site_label
_atom_site_type_symbol
_atom_site_fract_x
_atom_site_fract_y
_atom_site_fract_z
Li1 Li 0.000 0.500 0.000
Tm1 Tm 0.000 0.000 0.500
Mg1 Mg 0.500 0.500 0.500
```

# PaTiAs2

A geometry-optimized PaTiAs2 structure (PBE-GGA, Alexandria).

Calculated values
raw total energy: -7.496 eV per atom
calculated volume: 21.13 Å³ per atom
DOS at the Fermi energy: 4.4 states/eV/f.u.
formation energy: -0.824 eV per atom
ΔE to the lowest computed polymorph: 146 meV per atom

```
data_PaTiAs2
_chemical_formula_sum 'Pa3 Ti3 As6'
_cell_length_a 3.8061
_cell_length_b 3.8061
_cell_length_c 20.2093
_cell_angle_alpha 90.00
_cell_angle_beta 90.00
_cell_angle_gamma 120.00
_symmetry_space_group_name_H-M 'R 3 m'
_symmetry_Int_Tables_number 160
_symmetry_space_group_name_Hall 'R 3 -2"'
loop_
_atom_site_label
_atom_site_type_symbol
_atom_site_fract_x
_atom_site_fract_y
_atom_site_fract_z
Pa1 Pa 0.0000 0.0000 0.0000
Ti1 Ti 0.0000 0.0000 0.1745
As1 As 0.0000 0.0000 0.4291
As2 As 0.0000 0.0000 0.5761
```

Q: Among the records above, which one has the lowest raw total energy?
A: CuMo2Os

Q: Which value of raw total energy does entry 2 give?
A: -8.953 eV per atom

Q: calculated volume of number 8 (PaTiAs2)?
A: 21.13 Å³ per atom